Record 1
The following is a DFT calculation (PBE-GGA) of a relaxed structure of KSc2In.

Cell: 5.8627 5.8627 5.8627 Å, 131.96 131.96 70.30°
Fractional coordinates of all 4 atoms:
Sc1 0.0000 0.0000 0.0000
Sc2 0.2500 0.7500 0.5000
K1 0.7500 0.2500 0.5000
In1 0.5000 0.5000 0.0000

## Properties
**N(E_F)**: 0.761 states/eV/atom
**Energy of formation from the pure elements**: 0.3272 eV per atom
**Total energy**: -3.80 eV/atom


Record 2
The following is a DFT calculation (PBE-GGA) of a relaxed structure of KSc2In.

Cell: 5.4116 5.4116 5.4116 Å, 60.00 60.00 60.00°
Fractional coordinates of all 4 atoms:
In1 0.5000 0.5000 0.5000
Sc1 0.0000 0.0000 0.0000
Sc2 0.2500 0.2500 0.2500
K1 0.7500 0.7500 0.7500

## Properties
**N(E_F)**: 1.109 states/eV/atom
**Energy of formation from the pure elements**: 0.3684 eV per atom
**Total energy**: -3.76 eV/atom


Record 3
The following is a DFT calculation (PBE-GGA) of a relaxed structure of KSc2In.

Cell: 3.5966 5.6206 5.4789 Å, 90.00 90.00 90.00°
Fractional coordinates of all 4 atoms:
K1 0.0000 0.5000 0.5000
In1 0.5000 0.0000 0.5000
Sc1 0.5000 0.5000 0.0000
Sc2 0.0000 0.0000 0.0000

## Properties
**N(E_F)**: 1.067 states/eV/atom
**Energy of formation from the pure elements**: 0.3200 eV per atom
**Total energy**: -3.80 eV/atom